Below is a relaxed structure of Ti2NbN, with properties calculated at the PBE level.

Calculated values
- density (g/cm³) = 5.99
- excess energy over the best structure of this formula in the dataset (kJ per mole of atoms) = 0.00
- formation energy (no corrections) (eV per atom) = -0.920
- symmetry = R-3m (166)
- total magnetization (μB/f.u.) = 0.00

Lattice parameters (Å, degrees): 7.5178 7.5178 7.5178 22.83 22.83 22.83
Fractional coordinates of all 4 atoms:
Ti (0.2205, 0.2205, 0.2205)
Ti (0.7795, 0.7795, 0.7795)
Nb (0.0000, 0.0000, 0.0000)
N (0.5000, 0.5000, 0.5000)



Below is a relaxed structure of CaSc2Si2, with properties calculated at the PBE level.

Calculated values
- density (g/cm³) = 2.73
- excess energy over the best structure of this formula in the dataset (kJ per mole of atoms) = 0.00
- formation energy (no corrections) (eV per atom) = -0.496
- symmetry = I4/mmm (139)
- total magnetization (μB/f.u.) = 0.00

Lattice parameters (Å, degrees): 6.5998 6.5998 6.5998 140.97 140.97 56.38
Fractional coordinates of all 5 atoms:
Ca (0.0000, 0.0000, 0.0000)
Sc (0.2500, 0.7500, 0.5000)
Sc (0.7500, 0.2500, 0.5000)
Si (0.3943, 0.3943, 0.0000)
Si (0.6057, 0.6057, 0.0000)



Below is a relaxed structure of PmNd2Ho6, with properties calculated at the PBE level.

Calculated values
- density (g/cm³) = 7.33
- excess energy over the best structure of this formula in the dataset (kJ per mole of atoms) = 25.58
- E_form (eV/atom) = 0.371
- symmetry = R3m (160)
- total magnetization (μB/f.u.) = 0.00

Lattice parameters (Å, degrees): 8.6755 8.6755 8.6755 47.29 47.29 47.29
Fractional coordinates of all 9 atoms:
Pm (0.0000, 0.0000, 0.0000)
Nd (0.5926, 0.5926, 0.5926)
Nd (0.7514, 0.7514, 0.7514)
Ho (0.0530, 0.0530, 0.5635)
Ho (0.0530, 0.5635, 0.0530)
Ho (0.2807, 0.2807, 0.7729)
Ho (0.2807, 0.7729, 0.2807)
Ho (0.5635, 0.0530, 0.0530)
Ho (0.7729, 0.2807, 0.2807)



Question: What is the total magnetization in the third record?
Answer: 0.00 μB/f.u.